1.
# AcPrTiN3 PBE relaxed
data_AcPrTiN3
_symmetry_space_group_name_H-M 'P 1'
_symmetry_Int_Tables_number 1
_cell_length_a 4.0339
_cell_length_b 7.1395
_cell_length_c 7.4143
_cell_angle_alpha 104.97
_cell_angle_beta 90.00
_cell_angle_gamma 106.41
loop_
_symmetry_equiv_pos_as_xyz
'x,y,z'
loop_
_atom_site_label
_atom_site_type_symbol
_atom_site_fract_x
_atom_site_fract_y
_atom_site_fract_z
_atom_site_occupancy
N1 N 0.5009 0.0018 0.2608 1
N2 N 0.8415 0.6831 0.6655 1
N3 N 0.8448 0.6895 0.1776 1
N4 N 0.1552 0.3105 0.8224 1
N5 N 0.1585 0.3169 0.3345 1
N6 N 0.4991 0.9982 0.7392 1
Pr1 Pr 0.6510 0.3020 0.5735 1
Pr2 Pr 0.3490 0.6980 0.4265 1
Ac1 Ac 0.3532 0.7065 0.9252 1
Ac2 Ac 0.6468 0.2935 0.0748 1
Ti1 Ti 0.0001 0.0003 0.7214 1
Ti2 Ti 0.9999 0.9997 0.2786 1
# - DOS(E_F) (states/eV/f.u.) = 0.1
# - crystal system = monoclinic
# - space group = C2/m (12)
# - electronic total energy (eV per cell) = -98.437
# - formation energy from raw total energies (meV/atom) = -1243
# - M_tot (μB per cell) = 0.0

---

2.
# AcPr2TlN PBE relaxed
data_AcPr2TlN
_symmetry_space_group_name_H-M 'P 1'
_symmetry_Int_Tables_number 1
_cell_length_a 5.2796
_cell_length_b 5.1411
_cell_length_c 5.1411
_cell_angle_alpha 90.00
_cell_angle_beta 90.00
_cell_angle_gamma 90.00
loop_
_symmetry_equiv_pos_as_xyz
'x,y,z'
loop_
_atom_site_label
_atom_site_type_symbol
_atom_site_fract_x
_atom_site_fract_y
_atom_site_fract_z
_atom_site_occupancy
Pr1 Pr 0.0000 0.5000 0.0000 1
Pr2 Pr 0.0000 0.0000 0.5000 1
Ac1 Ac 0.5000 0.0000 0.0000 1
N1 N 0.0000 0.0000 0.0000 1
Tl1 Tl 0.5000 0.5000 0.5000 1
# - DOS(E_F) (states/eV/f.u.) = 3.0
# - crystal system = tetragonal
# - space group = P4/mmm (123)
# - electronic total energy (eV per cell) = -27.939
# - formation energy from raw total energies (meV/atom) = -716
# - M_tot (μB per cell) = 0.0

---

3.
# Ac2PrUN4 PBE relaxed
data_Ac2PrUN4
_symmetry_space_group_name_H-M 'P 1'
_symmetry_Int_Tables_number 1
_cell_length_a 3.6735
_cell_length_b 6.3403
_cell_length_c 6.5176
_cell_angle_alpha 108.83
_cell_angle_beta 90.00
_cell_angle_gamma 90.00
loop_
_symmetry_equiv_pos_as_xyz
'x,y,z'
loop_
_atom_site_label
_atom_site_type_symbol
_atom_site_fract_x
_atom_site_fract_y
_atom_site_fract_z
_atom_site_occupancy
N1 N 0.5000 0.2039 0.1956 1
N2 N 0.5000 0.7961 0.8044 1
N3 N 0.0000 0.7804 0.2011 1
N4 N 0.0000 0.2196 0.7989 1
Ac1 Ac 0.5000 0.0000 0.5000 1
Ac2 Ac 0.0000 0.5000 0.5000 1
U1 U 0.0000 0.0000 0.0000 1
Pr1 Pr 0.5000 0.5000 0.0000 1
# - DOS(E_F) (states/eV/f.u.) = 5.1
# - crystal system = monoclinic
# - space group = P2/m (10)
# - electronic total energy (eV per cell) = -67.443
# - formation energy from raw total energies (meV/atom) = -1232
# - M_tot (μB per cell) = 0.0

---

4.
# Ac3Pr4UN8 PBE relaxed
data_Ac3Pr4UN8
_symmetry_space_group_name_H-M 'P 1'
_symmetry_Int_Tables_number 1
_cell_length_a 7.4962
_cell_length_b 7.4319
_cell_length_c 7.4974
_cell_angle_alpha 120.29
_cell_angle_beta 119.99
_cell_angle_gamma 90.00
loop_
_symmetry_equiv_pos_as_xyz
'x,y,z'
loop_
_atom_site_label
_atom_site_type_symbol
_atom_site_fract_x
_atom_site_fract_y
_atom_site_fract_z
_atom_site_occupancy
N1 N 0.7891 0.7264 0.0077 1
N2 N 0.2182 0.7259 0.4364 1
N3 N 0.2186 0.7264 0.0077 1
N4 N 0.2109 0.2736 0.9923 1
N5 N 0.7814 0.2736 0.9923 1
N6 N 0.7818 0.2741 0.5636 1
N7 N 0.7545 0.7636 0.5090 1
N8 N 0.2455 0.2364 0.4910 1
Pr1 Pr 0.5000 0.0000 0.5000 1
Pr2 Pr 0.0000 0.0000 0.0000 1
Pr3 Pr 0.5000 0.0000 0.0000 1
Pr4 Pr 0.0000 0.0000 0.5000 1
U1 U 0.0000 0.5000 0.0000 1
Ac1 Ac 0.5000 0.5000 0.5000 1
Ac2 Ac 0.5000 0.5000 0.0000 1
Ac3 Ac 0.0000 0.5000 0.5000 1
# - DOS(E_F) (states/eV/f.u.) = 6.7
# - crystal system = trigonal
# - space group = R-3m (166)
# - electronic total energy (eV per cell) = -128.498
# - formation energy from raw total energies (meV/atom) = -1198
# - M_tot (μB per cell) = 0.0